YTmAgPb, relaxed, DFT PBE-GGA; total DFT energy (no corrections) = -19.04 eV/cell; ΔE_f = -1.55 eV/f.u.
1.0
-1.470 -3.945 -3.145
2.380 -4.672 0.358
-2.586 -4.121 1.987
Ag Tm Pb Y
1 1 1 1
direct
0.000 0.000 0.000 Ag
0.250 0.250 0.250 Tm
0.500 0.500 0.500 Pb
0.750 0.750 0.750 Y



KPbS2O6, relaxed, DFT PBE-GGA; total DFT energy (no corrections) = -112.66 eV/cell; formation energy from raw total energies = -1.352 eV/atom
1.0
-2.568 4.125 4.990
-4.395 -5.388 -0.413
6.543 -3.211 3.442
O K S Pb
12 2 4 2
direct
0.133 0.234 0.110 O
0.248 0.480 0.411 O
0.766 0.867 0.390 O
0.234 0.133 0.610 O
0.556 0.085 0.303 O
0.085 0.556 0.803 O
0.867 0.766 0.890 O
0.444 0.915 0.697 O
0.480 0.248 0.911 O
0.752 0.520 0.589 O
0.915 0.444 0.197 O
0.520 0.752 0.089 O
0.856 0.144 0.750 K
0.144 0.856 0.250 K
0.677 0.946 0.241 S
0.054 0.323 0.259 S
0.323 0.054 0.759 S
0.946 0.677 0.741 S
0.567 0.433 0.250 Pb
0.433 0.567 0.750 Pb